[1]
Computed, not measured: crystalline Ir2RuI2 at its relaxed geometry at the PBEsol level of DFT.

abc: 5.260 5.260 5.260
angles: 88.87 60.65 119.35
Fractional positions:
I (0.500, 0.250, 0.250)
I (0.500, 0.750, 0.750)
Ru (0.000, 0.000, 0.000)
Ir (0.000, 0.334, 0.666)
Ir (0.000, 0.666, 0.334)

Results
The theoretical density is 11.817 g/cm3. The calculation puts the raw formation energy at 30.1 kcal/mol of atoms. The calculation puts the total energy at -5.367 eV/atom.

***

[2]
Computed, not measured: crystalline Sr2SbPb at its relaxed geometry at the PBEsol level of DFT.

abc: 4.730 4.730 6.713
angles: 110.63 110.63 90.00
Fractional positions:
Pb (0.500, 0.500, 0.000)
Sb (0.250, 0.750, 0.500)
Sr (0.000, 0.000, 0.000)
Sr (0.750, 0.250, 0.500)

Results
For the excess energy over the best structure of this formula in the dataset, the calculation gives 114.9 meV per atom. The theoretical density is 6.429 g/cm3. The calculation puts the raw formation energy at -13.9 kcal/mol of atoms. The calculation puts the total energy at -3.662 eV/atom.

***

Please write out number 2 again, unchanged.
Computed, not measured: crystalline Sr2SbPb at its relaxed geometry at the PBEsol level of DFT.

abc: 4.730 4.730 6.713
angles: 110.63 110.63 90.00
Fractional positions:
Pb (0.500, 0.500, 0.000)
Sb (0.250, 0.750, 0.500)
Sr (0.000, 0.000, 0.000)
Sr (0.750, 0.250, 0.500)

Results
For the excess energy over the best structure of this formula in the dataset, the calculation gives 114.9 meV per atom. The theoretical density is 6.429 g/cm3. The calculation puts the raw formation energy at -13.9 kcal/mol of atoms. The calculation puts the total energy at -3.662 eV/atom.

***

Q: Which formula does entry 2 have?
A: Sr2SbPb

***

Q: Number 1 is which compound?
A: Ir2RuI2